Crystalline RbTl2InBr at its relaxed geometry, computed with PBE.

DOS at the Fermi energy	0.58	states/eV/atom
V	235.5	Å³/f.u.
theoretical density	4.86	g/cm3
formation energy (no corrections)	-0.09	eV per atom

Cell: 6.214 6.214 6.099 Å, 90.00 90.00 90.00°
Space group P4/mmm (No. 123)
One atom of each set of equivalent atoms:
Rb (0.000, 0.000, 0.000) (multiplicity 1)
Tl (0.000, 0.500, 0.500) (multiplicity 2)
In (0.500, 0.500, 0.000) (multiplicity 1)
Br (0.500, 0.500, 0.500) (multiplicity 1)